TlHg3GeTe4 after structural relaxation. Source: OQMD, functional PBE.

a b c (Å): 7.108 7.108 7.108
angles (deg): 90.00 90.00 90.00
Positions (direct):
Tl 0.000 0.000 0.000
Hg 0.000 0.500 0.500
Hg 0.500 0.000 0.500
Hg 0.500 0.500 0.000
Ge 0.500 0.500 0.500
Te 0.270 0.270 0.270
Te 0.270 0.730 0.730
Te 0.730 0.270 0.730
Te 0.730 0.730 0.270

Results
Electronic total energy: -2.313 eV per atom
Space group: P-43m (215)
Calculated volume: 359.1 Å³/f.u.